The following is a DFT calculation (GGA-PBE) of an optimized crystal structure of Li2Ga2Sb.

Output
- M_tot: 0.00 μB/cell
- ΔE_f (raw): -12 kJ/mol of atoms

abc: 4.0092 4.0092 12.4587
angles: 90.00 90.00 90.00
With the nearest neighbours (Å) after each atom.
Space group I4/mmm (No. 139)
Symmetry-distinct sites (fractional):
Li  0.0000  0.5000  0.2500 (multiplicity 4)  4 Ga 2.74, 4 Li 2.83
Ga  0.0000  0.0000  0.0996 (multiplicity 4)  1 Ga 2.48, 4 Li 2.74
Sb  0.0000  0.0000  0.5000 (multiplicity 2)  8 Ga 3.09

---

The following is a DFT calculation (GGA-PBE) of an optimized crystal structure of Na2SnC2.

Output
- DFT formation energy: 1821.1 meV/atom
- M_tot: 1.88 μB/cell

abc: 7.4628 7.4628 2.8745
angles: 90.00 90.00 90.00
With the nearest neighbours (Å) after each atom.
Space group P4/mbm (No. 127)
Symmetry-distinct sites (fractional):
Na  0.1197  0.3803  0.0000 (multiplicity 4)  1 Na 2.53, 6 C 2.54-2.71
Sn  0.0000  0.0000  0.0000 (multiplicity 2)  2 Sn 2.87, 4 Na 2.98, 8 C 3.09
C  0.1814  0.6814  0.5000 (multiplicity 4)  6 Na 2.54-2.71

---

The following is a DFT calculation (GGA-PBE) of an optimized crystal structure of Mo2HW2.

Output
- Energy: -45.219 eV per formula unit
- M_tot: 0.00 μB/cell

abc: 7.2928 7.2928 3.1152
angles: 90.00 90.00 90.00
With the nearest neighbours (Å) after each atom.
Space group P4/mbm (No. 127)
Symmetry-distinct sites (fractional):
Mo  0.1532  0.3468  0.0000 (multiplicity 4)  6 W 2.63-2.66, 2 H 2.76
H  0.0000  0.0000  0.0000 (multiplicity 2)  4 Mo 2.76
W  0.1418  0.6418  0.5000 (multiplicity 4)  6 Mo 2.63-2.66, 1 W 2.93

---

The following is a DFT calculation (GGA-PBE) of an optimized crystal structure of Y6Zn5Cu.

Output
- DFT formation energy: -334.8 meV/atom
- M_tot: 0.00 μB/cell

abc: 5.0354 7.1676 15.0877
angles: 90.00 90.00 90.00
With the nearest neighbours (Å) after each atom.
Space group Immm (No. 71)
Symmetry-distinct sites (fractional):
Y  0.0000  0.2458  0.0000 (multiplicity 4)  2 Cu 3.07, 6 Zn 3.11-3.12
Y  0.0000  0.2524  0.3352 (multiplicity 8)  1 Cu 3.06, 7 Zn 3.07-3.10
Zn  0.0000  0.0000  0.1707 (multiplicity 4)  8 Y 3.07-3.12
Zn  0.0000  0.0000  0.5000 (multiplicity 2)  8 Y 3.08-3.11
Zn  0.0000  0.5000  0.1674 (multiplicity 4)  8 Y 3.09-3.11
Cu  0.0000  0.5000  0.5000 (multiplicity 2)  8 Y 3.06-3.07

---

The following is a DFT calculation (GGA-PBE) of an optimized crystal structure of Tb2NdMg.

Output
- DFT formation energy: 79.7 meV/atom
- M_tot: 0.03 μB/cell

abc: 7.8725 7.8725 7.8725
angles: 90.00 90.00 90.00
With the nearest neighbours (Å) after each atom.
Space group Fm-3m (No. 225)
Symmetry-distinct sites (fractional):
Tb  0.2500  0.2500  0.2500 (multiplicity 8)  4 Mg 3.41, 4 Nd 3.41
Nd  0.0000  0.0000  0.0000 (multiplicity 4)  8 Tb 3.41
Mg  0.0000  0.0000  0.5000 (multiplicity 4)  8 Tb 3.41

---

The following is a DFT calculation (GGA-PBE) of an optimized crystal structure of Rb2CdHgTe.

Output
- M_tot: 0.05 μB/cell
- ΔE_f (raw): -25 kJ/mol of atoms

abc: 7.0220 7.0220 5.9529
angles: 90.00 90.00 90.00
With the nearest neighbours (Å) after each atom.
Space group P4/mmm (No. 123)
Symmetry-distinct sites (fractional):
Rb  0.0000  0.5000  0.0000 (multiplicity 2)  2 Te 3.51
Cd  0.0000  0.0000  0.5000 (multiplicity 1)  8 Rb 4.60, 4 Hg 4.97
Hg  0.5000  0.5000  0.5000 (multiplicity 1)  2 Te 2.98
Te  0.5000  0.5000  0.0000 (multiplicity 1)  2 Hg 2.98

---

The following is a DFT calculation (GGA-PBE) of an optimized crystal structure of MgTeOs2.

Output
- M_tot: 0.00 μB/cell
- ΔE_f (raw): 50 kJ/mol of atoms

abc: 3.2106 3.2106 6.3470
angles: 90.00 90.00 90.00
With the nearest neighbours (Å) after each atom.
Space group P4/mmm (No. 123)
Symmetry-distinct sites (fractional):
Mg  0.0000  0.0000  0.0000 (multiplicity 1)  8 Os 2.78
Te  0.0000  0.0000  0.5000 (multiplicity 1)  8 Os 2.76
Os  0.5000  0.5000  0.2517 (multiplicity 2)  4 Te 2.76, 4 Mg 2.78

---

The following is a DFT calculation (GGA-PBE) of an optimized crystal structure of PmTh2Sn.

Output
- DFT formation energy: -341.9 meV/atom
- M_tot: 0.00 μB/cell

abc: 4.8645 4.8645 5.0577
angles: 90.00 90.00 90.00
With the nearest neighbours (Å) after each atom.
Space group P4/mmm (No. 123)
Symmetry-distinct sites (fractional):
Pm  0.0000  0.0000  0.0000 (multiplicity 1)  4 Sn 3.44, 8 Th 3.51
Th  0.0000  0.5000  0.5000 (multiplicity 2)  4 Th 3.44, 4 Sn 3.51, 4 Pm 3.51
Sn  0.5000  0.5000  0.0000 (multiplicity 1)  4 Pm 3.44, 8 Th 3.51

---

The following is a DFT calculation (GGA-PBE) of an optimized crystal structure of K4Hg2Cl.

Output
- M_tot: 0.00 μB/cell
- ΔE_f (raw): -58 kJ/mol of atoms

abc: 6.2841 6.2841 16.6140
angles: 90.00 90.00 90.00
With the nearest neighbours (Å) after each atom.
Space group I4/mmm (No. 139)
Symmetry-distinct sites (fractional):
K  0.0000  0.0000  0.1896 (multiplicity 4)  1 Cl 3.15, 1 Hg 3.52
K  0.0000  0.5000  0.0000 (multiplicity 4)  2 Cl 3.14
Hg  0.0000  0.0000  0.4016 (multiplicity 4)  1 Hg 3.27, 5 K 3.52-3.54
Cl  0.0000  0.0000  0.0000 (multiplicity 2)  6 K 3.14-3.15

---

The following is a DFT calculation (GGA-PBE) of an optimized crystal structure of BeRe2Hg.

Output
- DFT formation energy: 455.6 meV/atom
- M_tot: 0.00 μB/cell

abc: 2.9343 2.9343 6.8941
angles: 90.00 90.00 90.00
With the nearest neighbours (Å) after each atom.
Space group P4/mmm (No. 123)
Symmetry-distinct sites (fractional):
Be  0.0000  0.0000  0.0000 (multiplicity 1)  8 Re 2.41
Re  0.5000  0.5000  0.1771 (multiplicity 2)  4 Be 2.41, 1 Re 2.44
Hg  0.0000  0.0000  0.5000 (multiplicity 1)  4 Hg 2.93, 8 Re 3.04

---

The following is a DFT calculation (GGA-PBE) of an optimized crystal structure of NaTl14Hg.

Output
- DFT formation energy: -9.5 meV/atom
- M_tot: 0.00 μB/cell

abc: 7.8029 7.8029 7.8741
angles: 90.00 90.00 90.00
With the nearest neighbours (Å) after each atom.
Space group P4/mmm (No. 123)
Symmetry-distinct sites (fractional):
Na  0.0000  0.0000  0.0000 (multiplicity 1)  8 Tl 3.40
Tl  0.0000  0.0000  0.5000 (multiplicity 1)  8 Tl 3.44
Tl  0.0000  0.5000  0.0000 (multiplicity 2)  8 Tl 3.37
Tl  0.0000  0.5000  0.5000 (multiplicity 2)  8 Tl 3.41
Tl  0.2534  0.2534  0.2455 (multiplicity 8)  1 Hg 3.34, 6 Tl 3.37-3.44, 1 Na 3.40
Tl  0.5000  0.5000  0.5000 (multiplicity 1)  8 Tl 3.38
Hg  0.5000  0.5000  0.0000 (multiplicity 1)  8 Tl 3.34

---

The following is a DFT calculation (GGA-PBE) of an optimized crystal structure of Nd2GaPt6.

Output
- DFT formation energy: -946.9 meV/atom
- M_tot: 0.00 μB/cell

abc: 9.8124 5.7003 6.3321
angles: 90.00 103.81 90.00
With the nearest neighbours (Å) after each atom.
Space group C2/m (No. 12)
Symmetry-distinct sites (fractional):
Nd  0.1444  0.0000  0.3551 (multiplicity 4)  9 Pt 3.02-3.24
Ga  0.0000  0.5000  0.5000 (multiplicity 2)  6 Pt 2.52-2.57
Pt  0.1199  0.5000  0.1892 (multiplicity 4)  1 Ga 2.52, 2 Pt 2.78
Pt  0.1345  0.2417  0.8134 (multiplicity 8)  1 Ga 2.57, 4 Pt 2.76-2.86

---

Question: The highest M_tot belongs to which entry?
Answer: Na2SnC2

---

Please write out number 11 again, unchanged.
The following is a DFT calculation (GGA-PBE) of an optimized crystal structure of NaTl14Hg.

Output
- DFT formation energy: -9.5 meV/atom
- M_tot: 0.00 μB/cell

abc: 7.8029 7.8029 7.8741
angles: 90.00 90.00 90.00
With the nearest neighbours (Å) after each atom.
Space group P4/mmm (No. 123)
Symmetry-distinct sites (fractional):
Na  0.0000  0.0000  0.0000 (multiplicity 1)  8 Tl 3.40
Tl  0.0000  0.0000  0.5000 (multiplicity 1)  8 Tl 3.44
Tl  0.0000  0.5000  0.0000 (multiplicity 2)  8 Tl 3.37
Tl  0.0000  0.5000  0.5000 (multiplicity 2)  8 Tl 3.41
Tl  0.2534  0.2534  0.2455 (multiplicity 8)  1 Hg 3.34, 6 Tl 3.37-3.44, 1 Na 3.40
Tl  0.5000  0.5000  0.5000 (multiplicity 1)  8 Tl 3.38
Hg  0.5000  0.5000  0.0000 (multiplicity 1)  8 Tl 3.34